1.
{
  "formula": "Pr4Tl2I3",
  "functional": "PBE",
  "state": "relaxed",
  "cell": [[4.457, 0.000, 0.000], [-2.229, 3.860, 0.000], [0.000, 0.000, 19.708]],
  "species": ["Pr", "Pr", "Pr", "Pr", "Tl", "Tl", "I", "I", "I"],
  "fractional_positions": [[0.000, 0.000, 0.202], [0.000, 0.000, 0.798], [0.333, 0.667, 0.396], [0.667, 0.333, 0.604], [0.333, 0.667, 0.700], [0.667, 0.333, 0.300], [0.000, 0.000, 0.500], [0.333, 0.667, 0.101], [0.667, 0.333, 0.899]],
  "formation_energy_uncorrected_ev_per_atom": -0.799,
  "space_group": "P-3m1"
}

=====

2.
{
  "formula": "PaIrS2",
  "functional": "PBE",
  "state": "relaxed",
  "cell": [[1.720, 0.993, 8.223], [-1.720, 0.993, 8.223], [0.000, -1.986, 8.223]],
  "species": ["Pa", "Ir", "S", "S"],
  "fractional_positions": [[0.000, 0.000, 0.000], [0.500, 0.500, 0.500], [0.408, 0.408, 0.408], [0.592, 0.592, 0.592]],
  "formation_energy_uncorrected_ev_per_atom": -0.346,
  "space_group": "R-3m"
}

=====

3.
{
  "formula": "Ac7Al2Ag2",
  "functional": "PBE",
  "state": "relaxed",
  "cell": [[4.267, -6.031, 0.000], [4.267, 6.031, 0.000], [0.000, 0.000, 7.946]],
  "species": ["Ac", "Ac", "Ac", "Ac", "Ac", "Ac", "Ac", "Al", "Al", "Ag", "Ag"],
  "fractional_positions": [[0.000, 0.000, 0.000], [0.000, 0.500, 0.283], [0.000, 0.500, 0.717], [0.500, 0.000, 0.283], [0.500, 0.000, 0.717], [0.500, 0.500, 0.272], [0.500, 0.500, 0.728], [0.156, 0.156, 0.500], [0.844, 0.844, 0.500], [0.293, 0.707, 0.000], [0.707, 0.293, 0.000]],
  "formation_enthalpy_0k_ev_per_atom": 0.034,
  "space_group": "Cmmm"
}